Run i
DFT (PBE-GGA) results for crystalline NdHoCdAg at its relaxed geometry.

a b c (Å): 3.7157 3.7157 7.5703
angles (deg): 90.00 90.00 90.00
With the nearest neighbours (Å) after each atom.
Fractional coordinates of all 4 atoms:
Nd 0.0000 0.0000 0.0000  4 Ag 3.31, 4 Cd 3.33, 1 Ho 3.66
Ho 0.0000 0.0000 0.4841  4 Ag 3.10, 4 Cd 3.21
Cd 0.5000 0.5000 0.7288  4 Ho 3.21, 4 Nd 3.33, 1 Ag 3.50
Ag 0.5000 0.5000 0.2663  4 Ho 3.10, 4 Nd 3.31

Symmetry: No. 99


Run ii
DFT (PBE-GGA) results for crystalline NdHoCdAg at its relaxed geometry.

a b c (Å): 5.2928 5.2928 5.2928
angles (deg): 60.00 60.00 60.00
With the nearest neighbours (Å) after each atom.
Fractional coordinates of all 4 atoms:
Nd 0.0000 0.0000 0.0000  4 Ag 3.24, 4 Cd 3.24
Ho 0.5000 0.5000 0.5000  4 Ag 3.24, 4 Cd 3.24
Cd 0.2500 0.2500 0.2500  4 Ho 3.24, 4 Nd 3.24
Ag 0.7500 0.7500 0.7500  4 Nd 3.24, 4 Ho 3.24

Symmetry: No. 216


The most stable arrangement is run i, and the next structure is 1.4 kJ/mol of atoms less stable.


Run i
DFT (PBE-GGA) results for crystalline HoScCdAg at its relaxed geometry.

a b c (Å): 5.0720 5.0720 5.0720
angles (deg): 60.00 60.00 60.00
With the nearest neighbours (Å) after each atom.
Fractional coordinates of all 4 atoms:
Ho 0.0000 0.0000 0.0000  4 Cd 3.11, 4 Ag 3.11
Sc 0.5000 0.5000 0.5000  4 Cd 3.11, 4 Ag 3.11
Cd 0.7500 0.7500 0.7500  4 Sc 3.11, 4 Ho 3.11
Ag 0.2500 0.2500 0.2500  4 Ho 3.11, 4 Sc 3.11

Symmetry: No. 216


Run ii
DFT (PBE-GGA) results for crystalline HoScCdAg at its relaxed geometry.

a b c (Å): 3.5909 3.5909 7.1193
angles (deg): 90.00 90.00 90.00
With the nearest neighbours (Å) after each atom.
Fractional coordinates of all 4 atoms:
Ho 0.0000 0.0000 0.0000  4 Ag 3.15, 4 Cd 3.22, 1 Sc 3.43
Sc 0.0000 0.0000 0.4822  4 Ag 2.99, 4 Cd 3.06
Cd 0.5000 0.5000 0.7211  4 Sc 3.06, 4 Ho 3.22, 1 Ag 3.28
Ag 0.5000 0.5000 0.2610  4 Sc 2.99, 4 Ho 3.15, 1 Cd 3.28

Symmetry: No. 99


The most stable arrangement is run ii, and the next structure is 1.5 kJ/mol of atoms less stable.


Run i
DFT (PBE-GGA) results for crystalline HoCdAgSn at its relaxed geometry.

a b c (Å): 5.0805 5.0805 5.0805
angles (deg): 60.00 60.00 60.00
With the nearest neighbours (Å) after each atom.
Fractional coordinates of all 4 atoms:
Ho 0.0000 0.0000 0.0000  4 Sn 3.11, 4 Ag 3.11
Cd 0.5000 0.5000 0.5000  4 Sn 3.11, 4 Ag 3.11
Ag 0.2500 0.2500 0.2500  4 Cd 3.11, 4 Ho 3.11
Sn 0.7500 0.7500 0.7500  4 Cd 3.11, 4 Ho 3.11

Symmetry: No. 216


Run ii
DFT (PBE-GGA) results for crystalline HoCdAgSn at its relaxed geometry.

a b c (Å): 4.3572 4.4611 4.7540
angles (deg): 90.00 90.00 90.00
With the nearest neighbours (Å) after each atom.
Fractional coordinates of all 4 atoms:
Ho 0.0000 0.0000 0.0000  4 Sn 3.12, 4 Ag 3.22, 4 Cd 3.26
Cd 0.0000 0.5000 0.5000  4 Ag 3.12, 4 Sn 3.22, 4 Ho 3.26
Ag 0.5000 0.0000 0.5000  4 Cd 3.12, 4 Ho 3.22, 4 Sn 3.26
Sn 0.5000 0.5000 0.0000  4 Ho 3.12, 4 Cd 3.22, 4 Ag 3.26

Symmetry: No. 47


The most stable arrangement is run ii, and the next structure is 8.1 kJ/mol of atoms less stable.


Run i
DFT (PBE-GGA) results for crystalline TbHoCdAg at its relaxed geometry.

a b c (Å): 5.2176 5.2176 5.2176
angles (deg): 60.00 60.00 60.00
With the nearest neighbours (Å) after each atom.
Fractional coordinates of all 4 atoms:
Tb 0.0000 0.0000 0.0000  4 Cd 3.20, 4 Ag 3.20
Ho 0.5000 0.5000 0.5000  4 Cd 3.20, 4 Ag 3.20
Cd 0.7500 0.7500 0.7500  4 Tb 3.20, 4 Ho 3.20
Ag 0.2500 0.2500 0.2500  4 Tb 3.20, 4 Ho 3.20

Symmetry: No. 216


Run ii
DFT (PBE-GGA) results for crystalline TbHoCdAg at its relaxed geometry.

a b c (Å): 3.6809 3.6809 7.4035
angles (deg): 90.00 90.00 90.00
With the nearest neighbours (Å) after each atom.
Fractional coordinates of all 4 atoms:
Tb 0.0000 0.0000 0.0000  4 Ag 3.18, 4 Cd 3.24
Ho 0.0000 0.0000 0.4833  4 Ag 3.14, 4 Cd 3.22
Cd 0.5000 0.5000 0.7389  4 Ho 3.22, 4 Tb 3.24
Ag 0.5000 0.5000 0.2469  4 Ho 3.14, 4 Tb 3.18

Symmetry: No. 99


The most stable arrangement is run ii, and the next structure is 1.0 kJ/mol of atoms less stable.


Run i
DFT (PBE-GGA) results for crystalline YHoCdAg at its relaxed geometry.

a b c (Å): 3.6855 3.6855 7.3672
angles (deg): 90.00 90.00 90.00
With the nearest neighbours (Å) after each atom.
Fractional coordinates of all 4 atoms:
Y 0.0000 0.0000 0.0000  4 Ag 3.18, 4 Cd 3.24, 1 Ho 3.56
Ho 0.0000 0.0000 0.5162  4 Ag 3.13, 4 Cd 3.21
Cd 0.5000 0.5000 0.2609  4 Ho 3.21, 4 Y 3.24
Ag 0.5000 0.5000 0.7520  4 Ho 3.13, 4 Y 3.18

Symmetry: No. 99


Run ii
DFT (PBE-GGA) results for crystalline YHoCdAg at its relaxed geometry.

a b c (Å): 5.2141 5.2141 5.2141
angles (deg): 60.00 60.00 60.00
With the nearest neighbours (Å) after each atom.
Fractional coordinates of all 4 atoms:
Y 0.0000 0.0000 0.0000  4 Ag 3.19, 4 Cd 3.19
Ho 0.5000 0.5000 0.5000  4 Ag 3.19, 4 Cd 3.19
Cd 0.2500 0.2500 0.2500  4 Ho 3.19, 4 Y 3.19
Ag 0.7500 0.7500 0.7500  4 Ho 3.19, 4 Y 3.19

Symmetry: No. 216


The most stable arrangement is run i, and the next structure is 1.1 kJ/mol of atoms less stable.


Run i
DFT (PBE-GGA) results for crystalline CdAgI3 at its relaxed geometry.

a b c (Å): 5.8898 5.8898 5.8898
angles (deg): 90.00 90.00 90.00
With the nearest neighbours (Å) after each atom.
Fractional coordinates of all 5 atoms:
Cd 0.0000 0.0000 0.0000  6 I 2.94
Ag 0.5000 0.5000 0.5000  12 I 4.16
I 0.0000 0.0000 0.5000  2 Cd 2.94
I 0.0000 0.5000 0.0000  2 Cd 2.94
I 0.5000 0.0000 0.0000  2 Cd 2.94

Symmetry: No. 221


Run ii
DFT (PBE-GGA) results for crystalline CdAgI3 at its relaxed geometry.

a b c (Å): 12.5549 12.5549 7.4327
angles (deg): 90.00 90.00 159.81
With the nearest neighbours (Å) after each atom.
Fractional coordinates of all 10 atoms:
Cd 0.1138 0.8862 0.5000  4 I 2.80-2.87
Cd 0.8862 0.1138 0.0000  4 I 2.80-2.87
Ag 0.3128 0.6872 0.4755  5 I 2.92-3.12
Ag 0.6872 0.3128 0.9755  5 I 2.92-3.12
I 0.1200 0.8800 0.1237  1 Cd 2.80, 2 Ag 2.97
I 0.2144 0.7856 0.6917  1 Cd 2.87, 3 Ag 2.92-3.12
I 0.4471 0.5529 0.1318  2 Cd 2.84
I 0.5529 0.4471 0.6318  2 Cd 2.84
I 0.7856 0.2144 0.1917  1 Cd 2.87, 3 Ag 2.92-3.12
I 0.8800 0.1200 0.6237  1 Cd 2.80, 2 Ag 2.97

Symmetry: No. 36


The most stable arrangement is run ii, and the next structure is 44.7 kJ/mol of atoms less stable.